The following is a PBE calculation of a relaxed structure of Ho2Ga5RuRh2, from the Alexandria database.

a = 9.4328 Å, b = 9.4328 Å, c = 3.9369 Å
α = 90.00°, β = 90.00°, γ = 90.00°
Atoms (fractional coordinates):
1 Ho 0.1798 0.3202 0.0000
2 Ho 0.3202 0.8202 0.0000
3 Ho 0.6798 0.1798 0.0000
4 Ho 0.8202 0.6798 0.0000
5 Ga 0.0000 0.5000 0.5000
6 Ga 0.0557 0.8050 0.5000
7 Ga 0.1950 0.0557 0.5000
8 Ga 0.3050 0.5557 0.5000
9 Ga 0.4443 0.3050 0.5000
10 Ga 0.5000 0.0000 0.5000
11 Ga 0.5557 0.6950 0.5000
12 Ga 0.6950 0.4443 0.5000
13 Ga 0.8050 0.9443 0.5000
14 Ga 0.9443 0.1950 0.5000
15 Ru 0.0000 0.0000 0.0000
16 Ru 0.5000 0.5000 0.0000
17 Rh 0.1188 0.6188 0.0000
18 Rh 0.3812 0.1188 0.0000
19 Rh 0.6188 0.8812 0.0000
20 Rh 0.8812 0.3812 0.0000

Computed properties:
Calculated volume, Å³ per cell: 350.29
E, eV/atom: -5.3834
E_form, eV/atom: -0.557

=====

The following is a PBE calculation of a relaxed structure of Ca3TaGa, from the Alexandria database.

a = 5.6065 Å, b = 5.6065 Å, c = 5.6065 Å
α = 90.00°, β = 90.00°, γ = 90.00°
Atoms (fractional coordinates):
1 Ca 0.0000 0.0000 0.5000
2 Ca 0.0000 0.5000 0.0000
3 Ca 0.5000 0.0000 0.0000
4 Ta 0.5000 0.5000 0.5000
5 Ga 0.0000 0.0000 0.0000

Computed properties:
Calculated volume, Å³ per cell: 176.23
E, eV/atom: -3.3112
E_form, eV/atom: 0.866
Polymorph energy (0 for the lowest one), meV/atom: 0

=====

The following is a PBE calculation of a relaxed structure of TiCr3N, from the Alexandria database.

a = 4.2446 Å, b = 4.2446 Å, c = 4.2446 Å
α = 90.00°, β = 90.00°, γ = 90.00°
Atoms (fractional coordinates):
1 Ti 0.0000 0.0000 0.0000
2 Cr 0.0000 0.0000 0.5000
3 Cr 0.0000 0.5000 0.0000
4 Cr 0.5000 0.0000 0.0000
5 N 0.5000 0.5000 0.5000

Computed properties:
Calculated volume, Å³ per cell: 76.47
E, eV/atom: -6.4259
Polymorph energy (0 for the lowest one), meV/atom: 2874
Raw formation energy, eV per formula unit: 12.961

=====

The following is a PBE calculation of a relaxed structure of RbCeO2, from the Alexandria database.

a = 6.6420 Å, b = 4.5113 Å, c = 11.9246 Å
α = 90.00°, β = 90.00°, γ = 90.00°
Atoms (fractional coordinates):
1 Rb 0.0157 0.2500 0.1471
2 Rb 0.4843 0.7500 0.6471
3 Rb 0.5157 0.2500 0.3529
4 Rb 0.9843 0.7500 0.8529
5 Ce 0.0008 0.2500 0.6221
6 Ce 0.4992 0.7500 0.1221
7 Ce 0.5008 0.2500 0.8779
8 Ce 0.9992 0.7500 0.3779
9 O 0.0426 0.7500 0.5769
10 O 0.2442 0.2500 0.7571
11 O 0.2558 0.7500 0.2571
12 O 0.4574 0.2500 0.0769
13 O 0.5426 0.7500 0.9231
14 O 0.7442 0.2500 0.7429
15 O 0.7558 0.7500 0.2429
16 O 0.9574 0.2500 0.4231

Computed properties:
Calculated volume, Å³ per cell: 357.31
E, eV/atom: -6.7307
Raw formation energy, eV per formula unit: -10.105

=====

The following is a PBE calculation of a relaxed structure of Tc5C3, from the Alexandria database.

a = 6.1719 Å, b = 6.1719 Å, c = 5.3759 Å
α = 90.00°, β = 90.00°, γ = 120.00°
Atoms (fractional coordinates):
1 Tc 0.0000 0.2437 0.2500
2 Tc 0.0000 0.7563 0.7500
3 Tc 0.2437 0.0000 0.2500
4 Tc 0.2437 0.2437 0.7500
5 Tc 0.3333 0.6667 0.0000
6 Tc 0.3333 0.6667 0.5000
7 Tc 0.6667 0.3333 0.0000
8 Tc 0.6667 0.3333 0.5000
9 Tc 0.7563 0.0000 0.7500
10 Tc 0.7563 0.7563 0.2500
11 C 0.0000 0.4058 0.7500
12 C 0.0000 0.5942 0.2500
13 C 0.4058 0.0000 0.7500
14 C 0.4058 0.4058 0.2500
15 C 0.5942 0.0000 0.2500
16 C 0.5942 0.5942 0.7500

Computed properties:
Calculated volume, Å³ per cell: 177.35
E, eV/atom: -9.4758
E_form, eV/atom: 0.462
Polymorph energy (0 for the lowest one), meV/atom: 75

=====

The following is a PBE calculation of a relaxed structure of Pm3Pr3Er, from the Alexandria database.

a = 9.7952 Å, b = 9.7952 Å, c = 5.8855 Å
α = 90.00°, β = 90.00°, γ = 120.00°
Atoms (fractional coordinates):
1 Pm 0.0461 0.2384 0.2500
2 Pm 0.1923 0.9538 0.2500
3 Pm 0.2384 0.1923 0.7500
4 Pm 0.7616 0.8077 0.2500
5 Pm 0.8077 0.0461 0.7500
6 Pm 0.9538 0.7616 0.7500
7 Pr 0.0949 0.4751 0.7500
8 Pr 0.3801 0.9051 0.7500
9 Pr 0.4751 0.3801 0.2500
10 Pr 0.5249 0.6199 0.7500
11 Pr 0.6199 0.0949 0.2500
12 Pr 0.9051 0.5249 0.2500
13 Er 0.3333 0.6667 0.2500
14 Er 0.6667 0.3333 0.7500

Computed properties:
Calculated volume, Å³ per cell: 489.04
E, eV/atom: -4.7088
E_form, eV/atom: 0.027
Polymorph energy (0 for the lowest one), meV/atom: 0

=====

The following is a PBE calculation of a relaxed structure of Li5MgZn2, from the Alexandria database.

a = 7.1047 Å, b = 7.1047 Å, c = 7.1047 Å
α = 156.00°, β = 101.78°, γ = 83.24°
Atoms (fractional coordinates):
1 Li 0.0000 0.0000 0.0000
2 Li 0.0941 0.3648 0.7293
3 Li 0.3646 0.6352 0.7293
4 Li 0.6354 0.3648 0.2707
5 Li 0.9059 0.6352 0.2707
6 Mg 0.5000 0.0000 0.5000
7 Zn 0.2540 0.2540 0.0000
8 Zn 0.7460 0.7460 0.0000

Computed properties:
Calculated volume, Å³ per cell: 140.66
E, eV/atom: -1.7885
E_form, eV/atom: -0.075
Polymorph energy (0 for the lowest one), meV/atom: 25

=====

The following is a PBE calculation of a relaxed structure of NdSm2HoEr2, from the Alexandria database.

a = 6.5262 Å, b = 18.0232 Å, c = 3.4083 Å
α = 90.00°, β = 90.00°, γ = 90.00°
Atoms (fractional coordinates):
1 Nd 0.0000 0.0000 0.0000
2 Nd 0.5000 0.5000 0.5000
3 Sm 0.2196 0.1883 0.0000
4 Sm 0.2804 0.6883 0.5000
5 Sm 0.7196 0.3117 0.5000
6 Sm 0.7804 0.8117 0.0000
7 Ho 0.0000 0.5000 0.0000
8 Ho 0.5000 0.0000 0.5000
9 Er 0.2168 0.3540 0.5000
10 Er 0.2832 0.8540 0.0000
11 Er 0.7168 0.1461 0.0000
12 Er 0.7832 0.6460 0.5000

Computed properties:
Calculated volume, Å³ per cell: 400.89
E, eV/atom: -4.3823
E_form, eV/atom: 0.269

=====

The following is a PBE calculation of a relaxed structure of Mg5ZnSn2Pd2, from the Alexandria database.

a = 9.8302 Å, b = 9.8302 Å, c = 4.1794 Å
α = 90.00°, β = 90.00°, γ = 90.00°
Atoms (fractional coordinates):
1 Mg 0.0000 0.5000 0.0000
2 Mg 0.0754 0.2032 0.0000
3 Mg 0.2032 0.9246 0.0000
4 Mg 0.2968 0.4246 0.0000
5 Mg 0.4246 0.7032 0.0000
6 Mg 0.5000 0.0000 0.0000
7 Mg 0.5754 0.2968 0.0000
8 Mg 0.7032 0.5754 0.0000
9 Mg 0.7968 0.0754 0.0000
10 Mg 0.9246 0.7968 0.0000
11 Zn 0.0000 0.0000 0.5000
12 Zn 0.5000 0.5000 0.5000
13 Sn 0.1717 0.6717 0.5000
14 Sn 0.3283 0.1717 0.5000
15 Sn 0.6717 0.8283 0.5000
16 Sn 0.8283 0.3283 0.5000
17 Pd 0.1232 0.3768 0.5000
18 Pd 0.3768 0.8768 0.5000
19 Pd 0.6232 0.1232 0.5000
20 Pd 0.8768 0.6232 0.5000

Computed properties:
Calculated volume, Å³ per cell: 403.86
E, eV/atom: -3.0713
E_form, eV/atom: -0.307

=====

The following is a PBE calculation of a relaxed structure of Tb3NdIr8, from the Alexandria database.

a = 9.3283 Å, b = 9.3283 Å, c = 9.3283 Å
α = 33.58°, β = 33.58°, γ = 33.58°
Atoms (fractional coordinates):
1 Tb 0.0000 0.0000 0.0000
2 Tb 0.1247 0.1247 0.1247
3 Tb 0.4991 0.4991 0.4991
4 Nd 0.6244 0.6244 0.6244
5 Ir 0.0615 0.0615 0.5609
6 Ir 0.0615 0.5609 0.0615
7 Ir 0.0635 0.5623 0.5623
8 Ir 0.3121 0.3121 0.3121
9 Ir 0.5609 0.0615 0.0615
10 Ir 0.5623 0.0635 0.5623
11 Ir 0.5623 0.5623 0.0635
12 Ir 0.8120 0.8120 0.8120

Computed properties:
Calculated volume, Å³ per cell: 221.24
E, eV/atom: -8.2357
E_form, eV/atom: -0.773
Polymorph energy (0 for the lowest one), meV/atom: 0